# YThSi | Alexandria via LeMat-Bulk | PBE-GGA | optimized geometry
data_YThSi
_chemical_formula_sum 'Y16 Th16 Si16'
_cell_length_a 8.835
_cell_length_b 11.924
_cell_length_c 13.275
_cell_angle_alpha 90.00
_cell_angle_beta 90.00
_cell_angle_gamma 90.00
_symmetry_space_group_name_H-M 'F d d d'
_symmetry_Int_Tables_number 70
loop_
_symmetry_equiv_pos_as_xyz
'x,y,z'
'-x,-y,-z'
'-x+1/4,-y+1/4,z'
'x+1/4,y+1/4,-z'
'x,-y+1/4,-z+1/4'
'-x,y+1/4,z+1/4'
'-x+1/4,y,-z+1/4'
'x+1/4,-y,z+1/4'
'x,y+1/2,z+1/2'
'-x,-y+1/2,-z+1/2'
'-x+1/4,-y+3/4,z+1/2'
'x+1/4,y+3/4,-z+1/2'
'x,-y+3/4,-z+3/4'
'-x,y+3/4,z+3/4'
'-x+1/4,y+1/2,-z+3/4'
'x+1/4,-y+1/2,z+3/4'
'x+1/2,y,z+1/2'
'-x+1/2,-y,-z+1/2'
'-x+3/4,-y+1/4,z+1/2'
'x+3/4,y+1/4,-z+1/2'
'x+1/2,-y+1/4,-z+3/4'
'-x+1/2,y+1/4,z+3/4'
'-x+3/4,y,-z+3/4'
'x+3/4,-y,z+3/4'
'x+1/2,y+1/2,z'
'-x+1/2,-y+1/2,-z'
'-x+3/4,-y+3/4,z'
'x+3/4,y+3/4,-z'
'x+1/2,-y+3/4,-z+1/4'
'-x+1/2,y+3/4,z+1/4'
'-x+3/4,y+1/2,-z+1/4'
'x+3/4,-y+1/2,z+1/4'
loop_
_atom_site_label
_atom_site_type_symbol
_atom_site_fract_x
_atom_site_fract_y
_atom_site_fract_z
Y1 Y 0.125 0.125 0.257
Th1 Th 0.000 0.000 0.500
Si1 Si 0.125 0.316 0.125
# * VASP energy: -6.722 eV per atom
# * distance to the lowest polymorph of the same formula: 0.054 eV per atom
# * raw formation energy: -0.2866 eV per atom
# * size of the total moment: 0.00 μB per cell



# YTh2Si2 | Alexandria via LeMat-Bulk | PBE-GGA | optimized geometry
data_YTh2Si2
_chemical_formula_sum 'Y2 Th4 Si4'
_cell_length_a 7.666
_cell_length_b 7.666
_cell_length_c 4.276
_cell_angle_alpha 90.00
_cell_angle_beta 90.00
_cell_angle_gamma 90.00
_symmetry_space_group_name_H-M 'P 4/m b m'
_symmetry_Int_Tables_number 127
_symmetry_space_group_name_Hall '-P 4 2ab'
loop_
_atom_site_label
_atom_site_type_symbol
_atom_site_fract_x
_atom_site_fract_y
_atom_site_fract_z
Y1 Y 0.000 0.000 0.000
Th1 Th 0.178 0.322 0.500
Si1 Si 0.117 0.617 0.000
# * VASP energy: -7.110 eV per atom
# * raw formation energy: -0.6796 eV per atom
# * size of the total moment: 0.00 μB per cell



# YThSi2 | Alexandria via LeMat-Bulk | PBE-GGA | optimized geometry
data_YThSi2
_chemical_formula_sum 'Y2 Th2 Si4'
_cell_length_a 3.961
_cell_length_b 4.350
_cell_length_c 10.759
_cell_angle_alpha 90.00
_cell_angle_beta 90.00
_cell_angle_gamma 90.00
_symmetry_space_group_name_H-M 'A m m 2'
_symmetry_Int_Tables_number 38
loop_
_symmetry_equiv_pos_as_xyz
'x,y,z'
'-x,-y,z'
'-x,y,z'
'x,-y,z'
'x,y+1/2,z+1/2'
'-x,-y+1/2,z+1/2'
'-x,y+1/2,z+1/2'
'x,-y+1/2,z+1/2'
loop_
_atom_site_label
_atom_site_type_symbol
_atom_site_fract_x
_atom_site_fract_y
_atom_site_fract_z
Y1 Y 0.000 0.000 0.000
Th1 Th 0.500 0.000 0.280
Si1 Si 0.000 0.000 0.714
Si2 Si 0.500 0.000 0.564
# * VASP energy: -6.922 eV per atom
# * distance to the lowest polymorph of the same formula: 0.000 eV per atom
# * raw formation energy: -0.7391 eV per atom
# * size of the total moment: 0.00 μB per cell



# Y2ThSi6 | Alexandria via LeMat-Bulk | PBE-GGA | optimized geometry
data_Y2ThSi6
_chemical_formula_sum 'Y2 Th1 Si6'
_cell_length_a 7.1251
_cell_length_b 7.1251
_cell_length_c 4.0305
_cell_angle_alpha 90.00
_cell_angle_beta 90.00
_cell_angle_gamma 120.00
_symmetry_space_group_name_H-M 'P 6/m m m'
_symmetry_Int_Tables_number 191
_symmetry_space_group_name_Hall '-P 6 2'
loop_
_atom_site_label
_atom_site_type_symbol
_atom_site_fract_x
_atom_site_fract_y
_atom_site_fract_z
Y1 Y 0.3333 0.6667 0.0000
Th1 Th 0.0000 0.0000 0.0000
Si1 Si 0.0000 0.3350 0.5000
# * VASP energy: -6.445 eV per atom
# * raw formation energy: -0.5683 eV per atom
# * size of the total moment: 0.00 μB per cell



# YThSi3 | Alexandria via LeMat-Bulk | PBE-GGA | optimized geometry
data_YThSi3
_chemical_formula_sum 'Y4 Th4 Si12'
_cell_length_a 4.241
_cell_length_b 24.576
_cell_length_c 4.020
_cell_angle_alpha 90.00
_cell_angle_beta 90.00
_cell_angle_gamma 90.00
_symmetry_space_group_name_H-M 'C m c m'
_symmetry_Int_Tables_number 63
_symmetry_space_group_name_Hall '-C 2c 2'
loop_
_atom_site_label
_atom_site_type_symbol
_atom_site_fract_x
_atom_site_fract_y
_atom_site_fract_z
Y1 Y 0.000 0.202 0.250
Th1 Th 0.000 0.071 0.750
Si1 Si 0.000 0.323 0.250
Si2 Si 0.000 0.380 0.750
Si3 Si 0.000 0.476 0.750
# * VASP energy: -6.739 eV per atom
# * raw formation energy: -0.7088 eV per atom
# * size of the total moment: 0.00 μB per cell



# Y2ThSi4 | Alexandria via LeMat-Bulk | PBE-GGA | optimized geometry
data_Y2ThSi4
_chemical_formula_sum 'Y4 Th2 Si8'
_cell_length_a 3.941
_cell_length_b 4.277
_cell_length_c 17.552
_cell_angle_alpha 90.00
_cell_angle_beta 90.00
_cell_angle_gamma 90.00
_symmetry_space_group_name_H-M 'I m m m'
_symmetry_Int_Tables_number 71
_symmetry_space_group_name_Hall '-I 2 2'
loop_
_atom_site_label
_atom_site_type_symbol
_atom_site_fract_x
_atom_site_fract_y
_atom_site_fract_z
Y1 Y 0.000 0.000 0.183
Th1 Th 0.000 0.500 0.500
Si1 Si 0.000 0.000 0.351
Si2 Si 0.000 0.500 0.067
# * VASP energy: -6.772 eV per atom
# * raw formation energy: -0.7668 eV per atom
# * size of the total moment: 0.00 μB per cell



# YThSi2 | Alexandria via LeMat-Bulk | PBE-GGA | optimized geometry
data_YThSi2
_chemical_formula_sum 'Y3 Th3 Si6'
_cell_length_a 4.5859
_cell_length_b 4.5859
_cell_length_c 16.2988
_cell_angle_alpha 90.00
_cell_angle_beta 90.00
_cell_angle_gamma 120.00
_symmetry_space_group_name_H-M 'R -3 m'
_symmetry_Int_Tables_number 166
_symmetry_space_group_name_Hall '-R 3 2"'
loop_
_atom_site_label
_atom_site_type_symbol
_atom_site_fract_x
_atom_site_fract_y
_atom_site_fract_z
Y1 Y 0.0000 0.0000 0.0000
Th1 Th 0.0000 0.0000 0.5000
Si1 Si 0.0000 0.0000 0.2569
# * VASP energy: -6.715 eV per atom
# * distance to the lowest polymorph of the same formula: 0.206 eV per atom
# * raw formation energy: -0.5326 eV per atom
# * size of the total moment: 0.00 μB per cell



# YThZnSi | Alexandria via LeMat-Bulk | PBE-GGA | optimized geometry
data_YThZnSi
_chemical_formula_sum 'Y4 Th4 Zn4 Si4'
_cell_length_a 7.191
_cell_length_b 7.191
_cell_length_c 7.191
_cell_angle_alpha 90.00
_cell_angle_beta 90.00
_cell_angle_gamma 90.00
_symmetry_space_group_name_H-M 'F -4 3 m'
_symmetry_Int_Tables_number 216
_symmetry_space_group_name_Hall 'F -4 2 3'
loop_
_atom_site_label
_atom_site_type_symbol
_atom_site_fract_x
_atom_site_fract_y
_atom_site_fract_z
Y1 Y 0.000 0.000 0.000
Th1 Th 0.000 0.000 0.500
Zn1 Zn 0.250 0.250 0.750
Si1 Si 0.250 0.250 0.250
# * VASP energy: -5.517 eV per atom
# * raw formation energy: -0.3717 eV per atom
# * size of the total moment: 0.00 μB per cell